Entry 1:
A relaxed structure of V2TePd9. Source: Alexandria, functional PBE.

Crystal system = tetragonal

a b c (Å): 3.946 3.946 12.034
angles (deg): 90.00 90.00 90.00
Atoms (fractional coordinates):
Pd: 0.000 0.500 0.815
Pd: 0.500 0.000 0.500
Pd: 0.500 0.500 0.000
V: 0.000 0.000 0.335
Pd: 0.000 0.500 0.185
Pd: 0.500 0.000 0.815
V: 0.000 0.000 0.665
Pd: 0.500 0.500 0.658
Pd: 0.000 0.500 0.500
Pd: 0.500 0.500 0.342
Te: 0.000 0.000 0.000
Pd: 0.500 0.000 0.185

***

Entry 2:
A relaxed structure of VTePd3. Source: Alexandria, functional PBE.

Energy relative to the lowest polymorph listed for this composition = 673.4 meV per atom
Crystal system = cubic

a b c (Å): 4.696 4.696 4.696
angles (deg): 90.00 90.00 90.00
Atoms (fractional coordinates):
V: 0.000 0.000 0.000
Pd: 0.000 0.500 0.000
Te: 0.500 0.500 0.500
Pd: 0.000 0.000 0.500
Pd: 0.500 0.000 0.000

***

Entry 3:
A relaxed structure of ZrVTePd2. Source: Alexandria, functional PBE.

Crystal system = tetragonal

a b c (Å): 4.888 5.300 4.888
angles (deg): 90.00 90.00 90.00
Atoms (fractional coordinates):
Pd: 0.500 0.000 0.000
Zr: 0.000 0.500 0.000
Te: 0.000 0.000 0.000
V: 0.500 0.500 0.500
Pd: 0.000 0.000 0.500

***

Entry 4:
A relaxed structure of ZrV2TePd. Source: Alexandria, functional PBE.

Crystal system = tetragonal

a b c (Å): 4.669 5.093 4.669
angles (deg): 90.00 90.00 90.00
Atoms (fractional coordinates):
V: 0.000 0.000 0.500
Pd: 0.000 0.500 0.000
Zr: 0.000 0.000 0.000
V: 0.500 0.000 0.000
Te: 0.500 0.500 0.500

***

Going through the records in order, we get mass density values of 10.520 7.983 6.328 6.390 g/cm3.
Going through the records in order, we get uncorrected formation energy values of -0.219 0.588 0.707 1.289 eV per atom.